4
Lattice="3.984 0.000 0.000 1.992 3.450 0.000 1.992 1.150 7.630" Properties=species:S:1:pos:R:3 comment="CaMgS2 | Alexandria via LeMat-Bulk | SCAN | PBEsol geometry" formation_energy_uncorrected_kcal_per_mol_atoms=-25.50 pbc="T T T"
S 5.976 3.450 2.517
S 1.992 1.150 5.113
Mg 3.984 2.300 3.815
Ca 0.000 0.000 0.000